1.
Below is crystalline CoAgBiC2 at its relaxed geometry, with properties calculated at the PBE level.

Computed properties:
The formation energy comes out at 7.53 eV/f.u.

Cell lengths 3.8659, 3.8659, 5.1403 Å; angles 90.00, 90.00, 90.00 degrees
Last column: nearest neighbours and their distance in Å.
Fractional coordinates of all 5 atoms:
Co 0.0000 0.0000 0.0000  4 C 1.93
Ag 0.0000 0.0000 0.5000  2 Co 2.57, 4 Bi 2.73
Bi 0.5000 0.5000 0.5000  4 Ag 2.73
C 0.0000 0.5000 0.0000  2 Co 1.93
C 0.5000 0.0000 0.0000  2 Co 1.93


2.
Below is crystalline KCdCu at its relaxed geometry, with properties calculated at the PBE level.

Computed properties:
The formation energy comes out at 1.80 eV/f.u. The energy above the most stable polymorph in this dataset is 0.530 eV per atom.

Cell lengths 7.7455, 7.7455, 7.7455 Å; angles 90.00, 90.00, 90.00 degrees
Last column: nearest neighbours and their distance in Å.
Fractional coordinates of all 12 atoms:
K 0.0000 0.0000 0.0000  4 Cu 3.35, 4 Cd 3.35
K 0.0000 0.5000 0.5000  4 Cu 3.35, 4 Cd 3.35
K 0.5000 0.0000 0.5000  4 Cu 3.35, 4 Cd 3.35
K 0.5000 0.5000 0.0000  4 Cu 3.35, 4 Cd 3.35
Cd 0.2500 0.2500 0.7500  4 K 3.35
Cd 0.2500 0.7500 0.2500  4 K 3.35
Cd 0.7500 0.2500 0.2500  4 K 3.35
Cd 0.7500 0.7500 0.7500  4 K 3.35
Cu 0.2500 0.2500 0.2500  4 K 3.35
Cu 0.2500 0.7500 0.7500  4 K 3.35
Cu 0.7500 0.2500 0.7500  4 K 3.35
Cu 0.7500 0.7500 0.2500  4 K 3.35


3.
Below is crystalline TbTm4Zr at its relaxed geometry, with properties calculated at the PBE level.

Computed properties:
The formation energy comes out at 0.77 eV/f.u. The energy above the most stable polymorph in this dataset is 0.077 eV per atom.

Cell lengths 8.2651, 8.2651, 6.1866 Å; angles 100.15, 100.15, 115.87 degrees
Last column: nearest neighbours and their distance in Å.
Fractional coordinates of all 12 atoms:
Tb 0.0923 0.9077 0.7500  10 Tm 3.41-3.67
Tb 0.9077 0.0923 0.2500  10 Tm 3.41-3.67
Tm 0.0939 0.3278 0.8673  2 Zr 3.26-3.32, 5 Tm 3.33-3.64, 2 Tb 3.41-3.47
Tm 0.2175 0.5925 0.4609  2 Zr 3.13-3.16, 4 Tm 3.33-3.41
Tm 0.3278 0.0939 0.3673  2 Zr 3.26-3.32, 5 Tm 3.33-3.64, 2 Tb 3.41-3.47
Tm 0.4075 0.7825 0.0391  2 Zr 3.13-3.16, 4 Tm 3.33-3.41
Tm 0.5925 0.2175 0.9609  2 Zr 3.13-3.16, 4 Tm 3.33-3.41
Tm 0.6722 0.9061 0.6327  2 Zr 3.26-3.32, 5 Tm 3.33-3.64, 2 Tb 3.41-3.47
Tm 0.7825 0.4075 0.5391  2 Zr 3.13-3.16, 4 Tm 3.33-3.41
Tm 0.9061 0.6722 0.1327  2 Zr 3.26-3.32, 5 Tm 3.33-3.64, 2 Tb 3.41-3.47
Zr 0.4972 0.5028 0.2500  2 Zr 3.09, 8 Tm 3.13-3.32
Zr 0.5028 0.4972 0.7500  2 Zr 3.09, 8 Tm 3.13-3.32


4.
Below is crystalline PWSe2 at its relaxed geometry, with properties calculated at the PBE level.

Computed properties:
The value obtained for the formation energy without anion corrections is 118 meV/atom.

Cell lengths 13.8327, 3.1436, 4.1055 Å; angles 90.00, 95.93, 90.00 degrees
Last column: nearest neighbours and their distance in Å.
Fractional coordinates of all 8 atoms:
P 0.0000 0.0000 0.0000  2 Se 2.52, 4 W 2.59
P 0.5000 0.5000 0.0000  2 Se 2.52, 4 W 2.59
W 0.0000 0.5000 0.5000  4 P 2.59, 4 Se 2.61
W 0.5000 0.0000 0.5000  4 P 2.59, 4 Se 2.61
Se 0.1459 0.0000 0.6808  1 P 2.52, 2 W 2.61
Se 0.3541 0.5000 0.3192  1 P 2.52, 2 W 2.61
Se 0.6459 0.5000 0.6808  1 P 2.52, 2 W 2.61
Se 0.8541 0.0000 0.3192  1 P 2.52, 2 W 2.61


no.,total magnetic moment (μB/cell)
1,0.00
2,0.00
3,0.00
4,0.00